Compound: La2TeSe
Source: Alexandria
Functional: PBE
Structure: relaxed

Output
For the uncorrected formation energy, the calculation gives -619 kJ/mol of formula units. The value obtained for the magnetization is 0.0 μB per cell.

CIF file:
```
data_La2TeSe
_cell_length_a 4.535
_cell_length_b 4.249
_cell_length_c 13.089
_cell_angle_alpha 90.00
_cell_angle_beta 90.00
_cell_angle_gamma 90.00
_symmetry_space_group_name_H-M 'A m m 2'
_symmetry_Int_Tables_number 38
loop_
_symmetry_equiv_pos_as_xyz
'x,y,z'
'-x,-y,z'
'-x,y,z'
'x,-y,z'
'x,y+1/2,z+1/2'
'-x,-y+1/2,z+1/2'
'-x,y+1/2,z+1/2'
'x,-y+1/2,z+1/2'
loop_
_atom_site_label
_atom_site_type_symbol
_atom_site_fract_x
_atom_site_fract_y
_atom_site_fract_z
La1 La 0.000 0.000 0.000
La2 La 0.500 0.000 0.286
Te1 Te 0.500 0.000 0.540
Se1 Se 0.000 0.000 0.772
```

Compound: LaTeSe4
Source: Alexandria
Functional: PBE
Structure: relaxed

Output
For the uncorrected formation energy, the calculation gives -175 kJ/mol of formula units. The value obtained for the magnetization is 0.0 μB per cell.

CIF file:
```
data_LaTeSe4
_cell_length_a 8.304
_cell_length_b 8.304
_cell_length_c 8.304
_cell_angle_alpha 90.00
_cell_angle_beta 90.00
_cell_angle_gamma 90.00
_symmetry_space_group_name_H-M 'F -4 3 m'
_symmetry_Int_Tables_number 216
_symmetry_space_group_name_Hall 'F -4 2 3'
loop_
_atom_site_label
_atom_site_type_symbol
_atom_site_fract_x
_atom_site_fract_y
_atom_site_fract_z
La1 La 0.000 0.000 0.000
Te1 Te 0.250 0.250 0.250
Se1 Se 0.126 0.126 0.626
```

Compound: LaTe2Se
Source: Alexandria
Functional: PBE
Structure: relaxed

Output
For the uncorrected formation energy, the calculation gives -315 kJ/mol of formula units. The value obtained for the magnetization is 0.0 μB per cell.

CIF file:
```
data_LaTe2Se
_cell_length_a 6.195
_cell_length_b 9.786
_cell_length_c 4.537
_cell_angle_alpha 90.00
_cell_angle_beta 114.34
_cell_angle_gamma 90.00
_symmetry_space_group_name_H-M 'C 1 2/m 1'
_symmetry_Int_Tables_number 12
loop_
_symmetry_equiv_pos_as_xyz
'x,y,z'
'-x,-y,-z'
'-x,y,-z'
'x,-y,z'
'x+1/2,y+1/2,z'
'-x+1/2,-y+1/2,-z'
'-x+1/2,y+1/2,-z'
'x+1/2,-y+1/2,z'
loop_
_atom_site_label
_atom_site_type_symbol
_atom_site_fract_x
_atom_site_fract_y
_atom_site_fract_z
La1 La 0.000 0.000 0.000
Te1 Te 0.250 0.250 0.500
Se1 Se 0.000 0.500 0.000
```

Compound: LaTeSe2
Source: Alexandria
Functional: PBE
Structure: relaxed

Output
For the uncorrected formation energy, the calculation gives -329 kJ/mol of formula units. The value obtained for the magnetization is 0.0 μB per cell.

CIF file:
```
data_LaTeSe2
_cell_length_a 4.542
_cell_length_b 4.542
_cell_length_c 10.069
_cell_angle_alpha 90.00
_cell_angle_beta 90.00
_cell_angle_gamma 90.00
_symmetry_space_group_name_H-M 'I 4/m m m'
_symmetry_Int_Tables_number 139
_symmetry_space_group_name_Hall '-I 4 2'
loop_
_atom_site_label
_atom_site_type_symbol
_atom_site_fract_x
_atom_site_fract_y
_atom_site_fract_z
La1 La 0.000 0.000 0.000
Te1 Te 0.000 0.000 0.500
Se1 Se 0.000 0.500 0.250
```

Compound: LaTeSe2
Source: Alexandria
Functional: PBE
Structure: relaxed

Output
For the uncorrected formation energy, the calculation gives -240 kJ/mol of formula units. The value obtained for the magnetization is 0.0 μB per cell.

CIF file:
```
data_LaTeSe2
_cell_length_a 7.541
_cell_length_b 7.541
_cell_length_c 7.541
_cell_angle_alpha 90.00
_cell_angle_beta 90.00
_cell_angle_gamma 90.00
_symmetry_space_group_name_H-M 'F -4 3 m'
_symmetry_Int_Tables_number 216
_symmetry_space_group_name_Hall 'F -4 2 3'
loop_
_atom_site_label
_atom_site_type_symbol
_atom_site_fract_x
_atom_site_fract_y
_atom_site_fract_z
La1 La 0.000 0.000 0.000
Te1 Te 0.250 0.250 0.250
Se1 Se 0.000 0.000 0.500
Se2 Se 0.250 0.250 0.750
```

Compound: LaTeSe2
Source: Alexandria
Functional: PBE
Structure: relaxed

Output
For the uncorrected formation energy, the calculation gives -365 kJ/mol of formula units. The value obtained for the magnetization is 0.6 μB per cell.

CIF file:
```
data_LaTeSe2
_cell_length_a 4.679
_cell_length_b 4.679
_cell_length_c 22.958
_cell_angle_alpha 90.00
_cell_angle_beta 90.00
_cell_angle_gamma 90.00
_symmetry_space_group_name_H-M 'I -4 2 d'
_symmetry_Int_Tables_number 122
_symmetry_space_group_name_Hall 'I -4 2bw'
loop_
_atom_site_label
_atom_site_type_symbol
_atom_site_fract_x
_atom_site_fract_y
_atom_site_fract_z
La1 La 0.000 0.000 0.000
Te1 Te 0.000 0.000 0.500
Se1 Se 0.111 0.250 0.125
```

Compound: LaTeSe2
Source: Alexandria
Functional: PBE
Structure: relaxed

Output
For the uncorrected formation energy, the calculation gives -399 kJ/mol of formula units. The value obtained for the magnetization is 0.0 μB per cell.

CIF file:
```
data_LaTeSe2
_cell_length_a 10.213
_cell_length_b 4.226
_cell_length_c 5.577
_cell_angle_alpha 90.00
_cell_angle_beta 92.99
_cell_angle_gamma 90.00
_symmetry_space_group_name_H-M 'C 1 2/m 1'
_symmetry_Int_Tables_number 12
loop_
_symmetry_equiv_pos_as_xyz
'x,y,z'
'-x,-y,-z'
'-x,y,-z'
'x,-y,z'
'x+1/2,y+1/2,z'
'-x+1/2,-y+1/2,-z'
'-x+1/2,y+1/2,-z'
'x+1/2,-y+1/2,z'
loop_
_atom_site_label
_atom_site_type_symbol
_atom_site_fract_x
_atom_site_fract_y
_atom_site_fract_z
La1 La 0.000 0.000 0.000
Te1 Te 0.000 0.500 0.500
Se1 Se 0.197 0.500 0.183
```

Compound: La5Te5Se
Source: Alexandria
Functional: PBE
Structure: relaxed

Output
For the uncorrected formation energy, the calculation gives -1759 kJ/mol of formula units. The value obtained for the magnetization is 0.0 μB per cell.

CIF file:
```
data_La5Te5Se
_cell_length_a 14.332
_cell_length_b 6.406
_cell_length_c 8.999
_cell_angle_alpha 90.00
_cell_angle_beta 108.54
_cell_angle_gamma 90.00
_symmetry_space_group_name_H-M 'C 1 2/m 1'
_symmetry_Int_Tables_number 12
loop_
_symmetry_equiv_pos_as_xyz
'x,y,z'
'-x,-y,-z'
'-x,y,-z'
'x,-y,z'
'x+1/2,y+1/2,z'
'-x+1/2,-y+1/2,-z'
'-x+1/2,y+1/2,-z'
'x+1/2,-y+1/2,z'
loop_
_atom_site_label
_atom_site_type_symbol
_atom_site_fract_x
_atom_site_fract_y
_atom_site_fract_z
La1 La 0.000 0.000 0.000
La2 La 0.159 0.500 0.837
La3 La 0.160 0.500 0.325
Te1 Te 0.000 0.500 0.500
Te2 Te 0.164 0.000 0.826
Te3 Te 0.169 0.000 0.336
Se1 Se 0.000 0.500 0.000
```

Which formula does entry 2 have?
LaTeSe4

What is the magnetization in the second record?
0.0 μB per cell

The highest magnetization belongs to which entry?
number 6